Density functional theory data (PBE) for a relaxed structure of SrTa2Cd.

Summary:
The value obtained for the formation energy is 0.448 eV per atom. The calculation puts the density of states at the Fermi level at 0.95 states/eV/atom.

a b c (Å): 3.026 3.026 10.268
angles (deg): 90.00 90.00 105.52
Fractional positions:
Ta (0.000, 0.000, 0.036)
Ta (0.500, 0.500, 0.238)
Sr (0.500, 0.500, 0.752)
Cd (0.000, 0.000, 0.474)